Entry 1:
The following is a DFT calculation (PBE with a Hubbard U) of crystalline CoH5CNCl2O2 at its relaxed geometry.

abc: 8.0516 11.0773 6.7736
angles: 90.00 102.10 90.00
Space group C2/c (No. 15)
Inequivalent atoms, fractional coordinates:
1 Co 0.0000 0.0000 0.0000 x4
2 H 0.0000 0.3217 0.2500 x4
3 H 0.0130 0.2770 0.8774 x8
4 H 0.1053 0.3877 0.7587 x8
5 C 0.0000 0.2221 0.2500 x4
6 N 0.0000 0.3324 0.7500 x4
7 Cl 0.2176 0.0442 0.7960 x8
8 O 0.0050 0.1726 0.0820 x8

## Properties
Uncorrected energy   -5.1557 eV per atom
Total magnetization   1.0 μB per formula unit


Entry 2:
The following is a DFT calculation (PBE with a Hubbard U) of crystalline CoH18C4N8Cl4O4 at its relaxed geometry.

abc: 6.4495 11.3007 12.2595
angles: 90.00 106.25 90.00
Space group P2_1/c (No. 14)
Inequivalent atoms, fractional coordinates:
1 Co 0.0000 0.0000 0.0000 x2
2 H 0.1328 0.9998 0.7570 x4
3 H 0.1940 0.1855 0.8146 x4
4 H 0.2051 0.2016 0.2164 x4
5 H 0.2189 0.2129 0.0084 x4
6 H 0.2277 0.6908 0.2732 x4
7 H 0.2532 0.7318 0.6527 x4
8 H 0.2881 0.9998 0.5044 x4
9 H 0.3145 0.6586 0.0016 x4
10 H 0.3675 0.1085 0.9924 x4
11 C 0.2238 0.1294 0.6594 x4
12 C 0.2467 0.5874 0.1398 x4
13 N 0.2050 0.2100 0.7356 x4
14 N 0.2074 0.0124 0.6936 x4
15 N 0.2325 0.6902 0.1903 x4
16 N 0.2952 0.5815 0.0416 x4
17 Cl 0.1934 0.5011 0.7004 x4
18 Cl 0.2713 0.6433 0.4609 x4
19 O 0.2151 0.1348 0.9683 x4
20 O 0.2518 0.1527 0.5641 x4

## Properties
Uncorrected energy   -5.6419 eV per atom
Total magnetization   2.9 μB per formula unit